An optimized crystal structure of TlGa2Pd8. Source: Alexandria, functional PBE.

Cell and atoms, written as POSCAR:
```
TlGa2Pd8
1.0
-2.305 -0.653 -3.951
0.782 -5.745 1.094
-4.920 3.073 4.789
Pd Ga Tl
8 2 1
Cartesian
-4.707 -0.161 3.837
-2.548 -0.051 -2.120
-5.971 0.896 1.721
-4.293 -1.670 -0.579
-4.945 1.056 -1.014
-1.479 -4.197 1.185
-1.631 -1.458 0.468
-3.710 -2.661 2.011
-3.676 -0.125 1.387
-2.427 -3.274 -1.245
-4.052 -2.559 4.850
```

Formation energy from the elements ... -356 meV/atom
DOS at the Fermi energy ... 0.46 states/eV per atom
Space-group type ... P1, No. 1
Total DFT energy (no corrections) ... -4.898 eV/atom
Energy above the lowest structure with this stoichiometry ... 0.51 eV per formula unit

=====

An optimized crystal structure of YMn2Al. Source: Alexandria, functional PBE.

Cell and atoms, written as POSCAR:
```
YMn2Al
1.0
-2.932 -0.934 -0.243
0.870 -2.218 -1.963
0.979 -4.515 5.535
Al Mn Y
1 2 1
Cartesian
-0.242 -5.216 3.359
0.024 -0.108 0.133
-0.848 -2.422 -0.066
0.472 -2.178 2.671
```

Formation energy from the elements ... -29 meV/atom
DOS at the Fermi energy ... 1.02 states/eV per atom
Space-group type ... P4mm, No. 99
Total DFT energy (no corrections) ... -7.166 eV/atom

=====

An optimized crystal structure of CaNd3Hg. Source: Alexandria, functional PBE.

Cell and atoms, written as POSCAR:
```
CaNd3Hg
1.0
6.903 -0.367 -1.100
-2.241 6.539 1.100
-3.468 -2.227 8.016
Nd Hg Ca
6 2 2
Cartesian
3.713 2.042 1.668
-1.335 -1.453 6.634
0.160 2.264 1.382
2.528 5.399 1.382
1.033 1.681 6.634
-2.521 1.904 6.348
1.795 3.490 3.988
-0.602 0.455 4.028
1.968 -1.487 5.171
-0.776 5.432 2.845
```

Formation energy from the elements ... -94 meV/atom
DOS at the Fermi energy ... 1.18 states/eV per atom
Space-group type ... C2/m, No. 12
Total DFT energy (no corrections) ... -3.416 eV/atom

=====

An optimized crystal structure of MgPt4Pb. Source: Alexandria, functional PBE.

Cell and atoms, written as POSCAR:
```
MgPt4Pb
1.0
2.162 1.670 4.664
-2.305 4.039 2.754
-2.531 -1.010 4.667
Mg Pt Pb
1 4 1
Cartesian
-2.006 3.524 9.063
-2.267 1.259 6.864
-1.004 1.763 4.535
0.075 2.597 6.862
-2.154 3.779 5.909
0.000 0.000 0.000
```

Formation energy from the elements ... -341 meV/atom
DOS at the Fermi energy ... 1.01 states/eV per atom
Space-group type ... F-43m, No. 216
Total DFT energy (no corrections) ... -5.252 eV/atom

=====

An optimized crystal structure of NdErRe4. Source: Alexandria, functional PBE.

Cell and atoms, written as POSCAR:
```
NdErRe4
1.0
-4.819 1.953 -1.650
-1.867 -1.199 -4.983
-4.252 -3.367 -0.582
Re Er Nd
4 1 1
Cartesian
-5.903 -1.033 -2.016
-4.426 -2.611 -3.685
-6.838 -1.633 -4.511
-4.710 0.052 -4.219
0.000 0.000 0.000
-2.735 -0.653 -1.804
```

Formation energy from the elements ... -71 meV/atom
DOS at the Fermi energy ... 1.33 states/eV per atom
Space-group type ... F-43m, No. 216
Total DFT energy (no corrections) ... -9.925 eV/atom

=====

An optimized crystal structure of BaAl2Cd. Source: Alexandria, functional PBE.

Cell and atoms, written as POSCAR:
```
BaAl2Cd
1.0
3.466 0.000 0.000
0.000 3.839 0.000
0.000 0.000 7.917
Al Ba Cd
2 1 1
Cartesian
1.733 1.920 1.396
0.000 0.000 0.181
0.000 0.000 3.874
1.733 1.920 6.425
```

Formation energy from the elements ... -35 meV/atom
DOS at the Fermi energy ... 0.54 states/eV per atom
Space-group type ... Pmm2, No. 25
Total DFT energy (no corrections) ... -2.616 eV/atom

=====

Among the records above, which one has the highest total DFT energy (no corrections)? BaAl2Cd